a | First-principles (GGA-PBE) data for an optimized crystal structure of LiY2Tl, as listed in Alexandria via LeMat-Bulk.

Properties
crystal system: trigonal

The structure in POSCAR format:
```
LiY2Tl
1.0
10.465 0.007 0.004
9.839 3.567 0.004
9.839 1.732 3.118
Li Tl Y
1 1 2
Cartesian
7.536 1.326 0.782
22.607 3.979 2.345
0.065 0.011 0.007
15.007 2.641 1.556
```


b | First-principles (GGA-PBE) data for an optimized crystal structure of LiY2Tl, as listed in Alexandria via LeMat-Bulk.

Properties
crystal system: orthorhombic

The structure in POSCAR format:
```
LiY2Tl
1.0
-4.857 3.170 4.290
3.921 -6.038 0.464
6.678 -0.916 -2.572
Li Y Tl
1 2 1
Cartesian
0.000 0.000 0.000
2.685 -1.762 -0.534
7.914 -5.193 -1.574
5.299 -3.477 -1.054
```


c | First-principles (GGA-PBE) data for an optimized crystal structure of LiY2Tl, as listed in Alexandria via LeMat-Bulk.

Properties
crystal system: cubic

The structure in POSCAR format:
```
LiY2Tl
1.0
-1.226 3.238 4.062
-4.950 1.941 0.464
-3.186 -1.725 3.919
Li Tl Y
1 1 2
Cartesian
-4.681 1.727 4.223
-7.022 2.591 6.334
0.000 0.000 0.000
-2.341 0.864 2.111
```


d | First-principles (GGA-PBE) data for an optimized crystal structure of LiY2Tl, as listed in Alexandria via LeMat-Bulk.

Properties
crystal system: tetragonal

The structure in POSCAR format:
```
LiY2Tl
1.0
-3.172 0.977 -1.835
1.692 -0.731 -3.314
-2.380 -7.076 0.346
Li Tl Y
1 1 2
Cartesian
-1.269 -3.774 0.184
-2.446 -4.952 -2.327
-2.321 -6.902 0.337
-1.392 -1.818 -2.480
```


The data favor d; the next most stable structure lies 11.0 kJ/mol of atoms above it.


a | First-principles (GGA-PBE) data for an optimized crystal structure of LiY2Tl2, as listed in Alexandria via LeMat-Bulk.

Properties
crystal system: tetragonal

The structure in POSCAR format:
```
LiY2Tl2
1.0
7.613 0.000 0.000
0.000 7.613 0.000
0.000 0.000 4.642
Y Tl Li
4 4 2
Cartesian
1.244 5.051 2.321
5.051 6.369 2.321
6.369 2.562 2.321
2.562 1.244 2.321
2.702 6.508 0.000
6.508 4.911 0.000
4.911 1.105 0.000
1.105 2.702 0.000
0.000 0.000 0.000
3.807 3.807 0.000
```


b | First-principles (GGA-PBE) data for an optimized crystal structure of LiY2Tl2, as listed in Alexandria via LeMat-Bulk.

Properties
crystal system: tetragonal

The structure in POSCAR format:
```
LiY2Tl2
1.0
-8.208 3.822 -1.084
-3.913 -8.208 0.687
-0.266 0.419 3.486
Y Tl Li
4 4 2
Cartesian
-6.456 -5.732 0.197
-9.611 -1.831 -0.512
-5.665 1.346 -0.593
-2.510 -2.555 0.116
-4.199 -4.658 2.018
-8.897 -3.993 1.580
-8.187 0.691 1.072
-3.489 0.026 1.510
0.000 0.000 0.000
-6.060 -2.193 -0.198
```


The data favor a; the next most stable structure lies 17.0 kJ/mol of atoms above it.


a | First-principles (GGA-PBE) data for an optimized crystal structure of Li2YTl, as listed in Alexandria via LeMat-Bulk.

Properties
crystal system: trigonal

The structure in POSCAR format:
```
Li2YTl
1.0
-2.586 9.715 -0.689
-5.665 8.258 -1.126
-4.458 8.804 2.042
Li Tl Y
2 1 1
Cartesian
-12.598 26.544 0.225
-6.465 13.621 0.115
-3.177 6.694 0.057
-9.531 20.083 0.170
```


b | First-principles (GGA-PBE) data for an optimized crystal structure of Li2YTl, as listed in Alexandria via LeMat-Bulk.

Properties
crystal system: tetragonal

The structure in POSCAR format:
```
Li2YTl
1.0
-0.246 3.066 -3.144
2.866 -2.274 -2.442
-6.638 -4.822 -7.260
Y Tl Li
2 2 4
Cartesian
1.310 0.396 -2.793
-1.232 -3.350 -6.248
0.000 0.000 0.000
-2.788 -0.680 -6.598
-1.473 0.643 -4.307
0.118 -2.460 -3.512
-4.199 -3.159 -7.367
-2.484 -3.084 -10.506
```


The data favor b; the next most stable structure lies 1.7 kJ/mol of atoms above it.


a | First-principles (GGA-PBE) data for an optimized crystal structure of Li2YTl, as listed in Alexandria via LeMat-Bulk.

Properties
crystal system: orthorhombic

The structure in POSCAR format:
```
Li2YTl
1.0
5.031 0.027 -0.006
-0.004 5.031 0.009
-2.505 -2.535 3.545
Y Tl Li
1 1 2
Cartesian
0.001 2.512 1.777
2.514 2.529 0.001
2.519 2.522 3.547
2.520 0.011 1.770
```


b | First-principles (GGA-PBE) data for an optimized crystal structure of Li2YTl, as listed in Alexandria via LeMat-Bulk.

Properties
crystal system: monoclinic

The structure in POSCAR format:
```
Li2YTl
1.0
-1.319 -1.312 4.833
0.009 -3.320 -0.899
5.309 -0.683 1.264
Li Tl Y
2 1 1
Cartesian
0.084 -0.341 -0.070
2.575 -1.661 0.252
0.670 -1.657 2.508
3.328 -3.658 2.690
```


c | First-principles (GGA-PBE) data for an optimized crystal structure of Li2YTl, as listed in Alexandria via LeMat-Bulk.

Properties
crystal system: orthorhombic

The structure in POSCAR format:
```
Li2YTl
1.0
3.936 0.000 0.000
0.000 4.883 0.000
0.000 0.000 5.056
Li Tl Y
2 1 1
Cartesian
0.000 0.000 0.000
1.968 2.441 0.000
1.968 0.000 2.528
0.000 2.441 2.528
```


The data favor a; the next most stable structure lies 9.4 kJ/mol of atoms above it.


a | First-principles (GGA-PBE) data for an optimized crystal structure of Li2YTl, as listed in Alexandria via LeMat-Bulk.

Properties
crystal system: cubic

The structure in POSCAR format:
```
Li2YTl
1.0
3.232 -3.613 0.089
0.024 -3.142 3.693
-1.455 -4.572 -0.697
Y Tl Li
1 1 2
Cartesian
0.000 0.000 0.000
0.900 -5.663 1.542
0.450 -2.832 0.771
1.351 -8.495 2.314
```


b | First-principles (GGA-PBE) data for an optimized crystal structure of Li2YTl, as listed in Alexandria via LeMat-Bulk.

Properties
crystal system: monoclinic

The structure in POSCAR format:
```
Li2YTl
1.0
5.333 -0.025 0.054
4.030 3.493 0.054
1.401 0.519 5.021
Li Tl Y
2 1 1
Cartesian
1.485 0.550 4.769
5.297 1.962 2.817
8.072 2.991 3.847
2.691 0.997 1.282
```


The data favor a; the next most stable structure lies 10.0 kJ/mol of atoms above it.


a | First-principles (GGA-PBE) data for an optimized crystal structure of Li2YTl, as listed in Alexandria via LeMat-Bulk.

Properties
crystal system: tetragonal

The structure in POSCAR format:
```
Li2YTl
1.0
3.707 0.000 0.000
0.000 3.716 0.000
0.000 0.000 6.679
Li Tl Y
2 1 1
Cartesian
0.000 0.000 0.258
0.000 0.000 3.082
1.853 1.858 1.670
1.853 1.858 5.010
```


b | First-principles (GGA-PBE) data for an optimized crystal structure of Li2YTl, as listed in Alexandria via LeMat-Bulk.

Properties
crystal system: tetragonal

The structure in POSCAR format:
```
Li2YTl
1.0
3.603 0.010 0.000
-0.010 3.603 0.000
0.000 0.000 7.311
Li Tl Y
2 1 1
Cartesian
0.000 0.000 0.354
1.796 1.806 1.834
0.000 0.000 3.376
1.796 1.806 5.403
```


The data favor b; the next most stable structure lies 2.4 kJ/mol of atoms above it.


a | First-principles (GGA-PBE) data for an optimized crystal structure of LiYTl3, as listed in Alexandria via LeMat-Bulk.

Properties
crystal system: cubic

The structure in POSCAR format:
```
LiYTl3
1.0
5.922 0.000 0.000
0.000 5.922 0.000
0.000 0.000 5.922
Y Tl Li
1 3 1
Cartesian
0.000 0.000 0.000
0.000 2.961 0.000
0.000 0.000 2.961
2.961 0.000 0.000
2.961 2.961 2.961
```


b | First-principles (GGA-PBE) data for an optimized crystal structure of LiYTl3, as listed in Alexandria via LeMat-Bulk.

Properties
crystal system: cubic

The structure in POSCAR format:
```
LiYTl3
1.0
5.057 0.000 0.000
0.000 5.057 0.000
0.000 0.000 5.057
Y Tl Li
1 3 1
Cartesian
2.528 2.528 2.528
0.000 2.528 0.000
0.000 0.000 2.528
2.528 0.000 0.000
0.000 0.000 0.000
```


The data favor b; the next most stable structure lies 40.3 kJ/mol of atoms above it.


a | First-principles (GGA-PBE) data for an optimized crystal structure of Li2Y2Tl, as listed in Alexandria via LeMat-Bulk.

Properties
crystal system: tetragonal

The structure in POSCAR format:
```
Li2Y2Tl
1.0
8.477 0.000 0.000
0.000 8.477 0.000
0.000 0.000 3.734
Y Tl Li
4 2 4
Cartesian
2.977 7.216 0.000
7.216 5.500 0.000
5.500 1.262 0.000
1.262 2.977 0.000
0.000 0.000 0.000
4.239 4.239 0.000
1.254 5.493 1.867
5.493 7.223 1.867
7.223 2.985 1.867
2.985 1.254 1.867
```


b | First-principles (GGA-PBE) data for an optimized crystal structure of Li2Y2Tl, as listed in Alexandria via LeMat-Bulk.

Properties
crystal system: tetragonal

The structure in POSCAR format:
```
Li2Y2Tl
1.0
7.039 0.000 0.000
0.000 7.039 0.000
0.000 0.000 4.838
Y Tl Li
4 2 4
Cartesian
1.303 4.822 2.419
4.822 5.736 2.419
5.736 2.217 2.419
2.217 1.303 2.419
0.000 0.000 0.000
3.520 3.520 0.000
2.620 6.139 0.000
6.139 4.420 0.000
4.420 0.900 0.000
0.900 2.620 0.000
```


c | First-principles (GGA-PBE) data for an optimized crystal structure of Li2Y2Tl, as listed in Alexandria via LeMat-Bulk.

Properties
crystal system: tetragonal

The structure in POSCAR format:
```
Li2Y2Tl
1.0
-2.262 2.461 1.404
-2.800 -1.665 -1.592
-3.716 -5.249 7.895
Y Tl Li
2 1 2
Cartesian
-2.776 -0.770 1.558
-6.002 -3.683 6.149
0.000 0.000 0.000
-4.255 -1.195 4.603
-4.523 -3.258 3.104
```


d | First-principles (GGA-PBE) data for an optimized crystal structure of Li2Y2Tl, as listed in Alexandria via LeMat-Bulk.

Properties
crystal system: trigonal

The structure in POSCAR format:
```
Li2Y2Tl
1.0
5.007 0.453 3.269
2.075 4.579 3.269
0.706 0.502 5.935
Li Y Tl
2 2 1
Cartesian
3.218 2.287 5.154
4.570 3.248 7.319
6.047 4.297 9.684
1.741 1.237 2.789
0.000 0.000 0.000
```


The data favor b; the next most stable structure lies 0.6 kJ/mol of atoms above it.


a | First-principles (GGA-PBE) data for an optimized crystal structure of LiTl3Zn, as listed in Alexandria via LeMat-Bulk.

Properties
crystal system: cubic

The structure in POSCAR format:
```
LiTl3Zn
1.0
-4.528 1.922 2.158
-2.796 -1.898 -4.176
-0.732 -4.643 2.600
Tl Zn Li
3 1 1
Cartesian
-1.398 -0.949 -2.088
-0.366 -2.322 1.300
-2.264 0.961 1.079
0.000 0.000 0.000
-4.028 -2.309 0.292
```


b | First-principles (GGA-PBE) data for an optimized crystal structure of LiTl3Zn, as listed in Alexandria via LeMat-Bulk.

Properties
crystal system: cubic

The structure in POSCAR format:
```
LiTl3Zn
1.0
-3.718 2.787 -2.290
-0.037 -3.318 -3.978
-3.607 -2.839 2.401
Tl Zn Li
3 1 1
Cartesian
-0.018 -1.659 -1.989
-1.803 -1.420 1.201
-1.859 1.393 -1.145
-3.681 -1.685 -1.933
0.000 0.000 0.000
```


The data favor a; the next most stable structure lies 1.2 kJ/mol of atoms above it.


a | First-principles (GGA-PBE) data for an optimized crystal structure of Li4TlZn, as listed in Alexandria via LeMat-Bulk.

Properties
crystal system: tetragonal

The structure in POSCAR format:
```
Li4TlZn
1.0
3.337 -0.425 -0.080
0.423 3.337 -0.080
0.250 0.193 9.421
Li Tl Zn
4 1 1
Cartesian
1.917 1.485 1.320
2.092 1.620 7.942
3.930 3.044 6.291
0.079 0.061 2.971
2.005 1.553 4.631
0.000 0.000 0.000
```


b | First-principles (GGA-PBE) data for an optimized crystal structure of Li4TlZn, as listed in Alexandria via LeMat-Bulk.

Properties
crystal system: cubic

The structure in POSCAR format:
```
Li4TlZn
1.0
-5.265 -0.645 -0.369
-3.161 4.233 -0.603
-2.463 0.840 -4.637
Li Tl Zn
4 1 1
Cartesian
-6.717 1.337 -2.288
-5.315 2.080 -4.424
-5.664 3.778 -2.404
-4.082 1.660 -2.103
-8.167 3.321 -4.207
0.000 0.000 0.000
```


c | First-principles (GGA-PBE) data for an optimized crystal structure of Li4TlZn, as listed in Alexandria via LeMat-Bulk.

Properties
crystal system: monoclinic

The structure in POSCAR format:
```
Li4TlZn
1.0
-1.628 -3.998 1.704
3.789 1.940 1.849
-3.183 2.821 3.584
Li Tl Zn
4 1 1
Cartesian
1.294 -0.383 3.552
-2.320 1.100 3.582
-0.340 1.063 5.386
-0.687 -0.346 1.748
0.299 2.356 2.717
-1.290 3.774 4.507
```


The data favor c; the next most stable structure lies 2.1 kJ/mol of atoms above it.